The following is a DFT calculation (PBE-GGA) of a relaxed CaTi2CoN4 crystal.

a = 3.071 Å, b = 5.485 Å, c = 10.715 Å
α = 90.00°, β = 90.00°, γ = 106.25°
Each line ends with the local moment (μB).
Fractional positions:
N 0.000 0.000 0.000  0.03
N 0.263 0.526 0.108  0.05
N 0.434 0.869 0.750  0.12
N 0.566 0.131 0.250  0.12
N 0.737 0.474 0.608  0.05
N 0.263 0.526 0.392  0.05
N 0.000 0.000 0.500  0.03
N 0.737 0.474 0.892  0.05
Ti 0.367 0.734 0.543  -0.01
Ti 0.367 0.734 0.957  -0.01
Ti 0.633 0.266 0.043  -0.01
Ti 0.633 0.266 0.457  -0.01
Co 0.158 0.316 0.250  0.98
Co 0.842 0.684 0.750  0.98
Ca 0.891 0.782 0.250  0.01
Ca 0.109 0.218 0.750  0.01

Output
The total magnetization is 2.730 μB/cell. Its symmetry is Cmcm, No. 63. The calculation puts the raw formation energy at -1039 meV/atom.

The following is a DFT calculation (PBE-GGA) of a relaxed MnNb2I2 crystal.

a = 3.787 Å, b = 3.787 Å, c = 8.667 Å
α = 77.38°, β = 77.38°, γ = 90.00°
Each line ends with the local moment (μB).
Fractional positions:
I 0.393 0.393 0.215  -0.01
I 0.607 0.607 0.785  -0.01
Nb 0.250 0.750 0.500  0.03
Nb 0.750 0.250 0.500  0.03
Mn 0.000 0.000 0.000  0.36

Output
The polymorph energy (0 for the lowest one) comes out at 0.254 eV per atom. The total magnetization is 0.433 μB/cell. Its symmetry is I4/mmm, No. 139. The calculation puts the raw formation energy at 1185 meV/atom.

The following is a DFT calculation (PBE-GGA) of a relaxed CaZr4PaN8 crystal.

a = 6.597 Å, b = 6.597 Å, c = 6.759 Å
α = 60.79°, β = 60.79°, γ = 60.00°
Fractional positions:
N 0.755 0.755 0.734
N 0.234 0.234 0.729
N 0.230 0.756 0.258
N 0.756 0.756 0.258
N 0.233 0.233 0.300
N 0.804 0.234 0.729
N 0.756 0.230 0.258
N 0.234 0.804 0.729
Zr 0.004 0.490 0.503
Zr 0.004 0.004 0.503
Zr 0.625 0.625 0.125
Zr 0.490 0.004 0.503
Ca 0.374 0.374 0.877
Pa 0.002 0.002 0.995

Output
The total magnetization is 0.000 μB/cell. Its symmetry is R3m, No. 160. The calculation puts the raw formation energy at -1339 meV/atom.

The following is a DFT calculation (PBE-GGA) of a relaxed KY3Mg crystal.

a = 5.499 Å, b = 5.499 Å, c = 5.499 Å
α = 90.00°, β = 90.00°, γ = 90.00°
Fractional positions:
Y 0.500 0.000 0.000
Y 0.000 0.000 0.500
Y 0.000 0.500 0.000
K 0.000 0.000 0.000
Mg 0.500 0.500 0.500

Output
The calculated formation energy is 1.160 eV/atom. The polymorph energy (0 for the lowest one) comes out at 0.523 eV per atom. The total magnetization is 0.000 μB/cell. Its symmetry is Pm-3m, No. 221.

The following is a DFT calculation (PBE-GGA) of a relaxed BaZn2Br6 crystal.

a = 7.196 Å, b = 9.839 Å, c = 9.839 Å
α = 87.48°, β = 80.18°, γ = 80.18°
Fractional positions:
Br 0.083 0.152 0.582
Br 0.417 0.418 0.848
Br 0.063 0.428 0.275
Br 0.437 0.725 0.572
Br 0.325 0.050 0.191
Br 0.563 0.275 0.428
Br 0.937 0.572 0.725
Br 0.175 0.809 0.950
Br 0.825 0.191 0.050
Br 0.583 0.582 0.152
Br 0.675 0.950 0.809
Br 0.917 0.848 0.418
Zn 0.740 0.771 0.629
Zn 0.760 0.371 0.229
Zn 0.260 0.229 0.371
Zn 0.240 0.629 0.771
Ba 0.750 0.862 0.138
Ba 0.250 0.138 0.862

Output
The total magnetization is 0.000 μB/cell. Its symmetry is C2/c, No. 15. The calculation puts the raw formation energy at -1287 meV/atom.

The following is a DFT calculation (PBE-GGA) of a relaxed GdUIrRh crystal.

a = 4.865 Å, b = 4.865 Å, c = 4.865 Å
α = 60.00°, β = 60.00°, γ = 60.00°
Each line ends with the local moment (μB).
Fractional positions:
Ir 0.500 0.500 0.500  0.09
Gd 0.750 0.750 0.750  6.84
U 0.250 0.250 0.250  -2.23
Rh 0.000 0.000 0.000  0.15

Output
The calculated formation energy is -0.527 eV/atom. The total magnetization is 4.622 μB/cell. Its symmetry is F-43m, No. 216.

Density of states at the Fermi level for the records above, in order: 6.88; 12.27; 6.26; 3.18; 0.00; 4.28 states/eV/cell